{
  "formula": "Cs2IrPdPt",
  "functional": "GGA-PBEsol",
  "state": "optimized geometry",
  "lattice": [[6.068, 0.000, 0.000], [0.000, 6.068, 0.000], [0.000, 0.000, 4.687]],
  "species": ["Cs", "Cs", "Ir", "Pd", "Pt"],
  "fractional_positions": [[0.000, 0.500, 0.000], [0.500, 0.000, 0.000], [0.000, 0.000, 0.500], [0.000, 0.000, 0.000], [0.500, 0.500, 0.500]],
  "ef_ev_per_atom": 1.390
}


{
  "formula": "ZrAlPt2Au",
  "functional": "GGA-PBEsol",
  "state": "optimized geometry",
  "lattice": [[4.936, 0.000, 0.000], [0.000, 4.936, 0.000], [0.000, 0.000, 4.384]],
  "species": ["Zr", "Al", "Pt", "Pt", "Au"],
  "fractional_positions": [[0.000, 0.000, 0.000], [0.500, 0.500, 0.000], [0.000, 0.500, 0.500], [0.500, 0.000, 0.500], [0.500, 0.500, 0.500]],
  "ef_ev_per_atom": 0.612
}


{
  "formula": "Al3Ni9C",
  "functional": "GGA-PBEsol",
  "state": "optimized geometry",
  "lattice": [[3.655, 0.000, 0.000], [0.000, 3.655, 0.000], [0.000, 0.000, 10.351]],
  "species": ["Al", "Al", "Al", "Ni", "Ni", "Ni", "Ni", "Ni", "Ni", "Ni", "Ni", "Ni", "C"],
  "fractional_positions": [[0.000, 0.000, 0.000], [0.000, 0.000, 0.316], [0.000, 0.000, 0.684], [0.000, 0.500, 0.160], [0.000, 0.500, 0.500], [0.000, 0.500, 0.840], [0.500, 0.000, 0.160], [0.500, 0.000, 0.500], [0.500, 0.000, 0.840], [0.500, 0.500, 0.000], [0.500, 0.500, 0.323], [0.500, 0.500, 0.677], [0.500, 0.500, 0.500]],
  "ef_ev_per_atom": -0.384
}


{
  "formula": "Sn3POs",
  "functional": "GGA-PBEsol",
  "state": "optimized geometry",
  "lattice": [[5.037, 0.000, 0.000], [0.000, 5.037, 0.000], [0.000, 0.000, 5.037]],
  "species": ["Sn", "Sn", "Sn", "P", "Os"],
  "fractional_positions": [[0.000, 0.000, 0.500], [0.000, 0.500, 0.000], [0.500, 0.000, 0.000], [0.500, 0.500, 0.500], [0.000, 0.000, 0.000]],
  "ef_ev_per_atom": 0.507
}


{
  "formula": "Ta3FeBr",
  "functional": "GGA-PBEsol",
  "state": "optimized geometry",
  "lattice": [[4.599, 0.000, 0.000], [0.000, 4.599, 0.000], [0.000, 0.000, 4.599]],
  "species": ["Ta", "Ta", "Ta", "Fe", "Br"],
  "fractional_positions": [[0.000, 0.000, 0.500], [0.000, 0.500, 0.000], [0.500, 0.000, 0.000], [0.000, 0.000, 0.000], [0.500, 0.500, 0.500]],
  "formation_energy_uncorrected_ev_per_atom": 1.024
}


{
  "formula": "BeInAsSe2",
  "functional": "GGA-PBEsol",
  "state": "optimized geometry",
  "lattice": [[5.163, 0.000, 0.000], [0.000, 5.163, 0.000], [0.000, 0.000, 5.139]],
  "species": ["Be", "In", "As", "Se", "Se"],
  "fractional_positions": [[0.000, 0.000, 0.000], [0.500, 0.500, 0.500], [0.500, 0.500, 0.000], [0.000, 0.500, 0.500], [0.500, 0.000, 0.500]],
  "formation_energy_uncorrected_ev_per_atom": 1.130
}


Quick rundown of total DFT energy (no corrections), same order as above: -0.12997; -0.20559; -0.23273; -0.20764; -0.31873; -0.10393 Ha/atom